No. 1
VASP calculation (PBE) on TlOsI2N after structural relaxation.

Cell lengths 6.205, 6.205, 4.166 Å; angles 90.00, 90.00, 90.00 degrees
Space group P4/mmm (No. 123)
Symmetry-distinct sites (fractional):
Tl 0.000 0.000 0.000
Os 0.500 0.500 0.500
I 0.000 0.500 0.000
N 0.000 0.000 0.500

offset from the most stable computed form: 1841.1 meV per atom
uncorrected formation energy: 10.345 eV/f.u.



No. 2
VASP calculation (PBE) on Ce2DyGa after structural relaxation.

Cell lengths 7.526, 7.526, 7.526 Å; angles 90.00, 90.00, 90.00 degrees
Space group Fm-3m (No. 225)
Symmetry-distinct sites (fractional):
Ce 0.250 0.250 0.250
Dy 0.000 0.000 0.000
Ga 0.000 0.000 0.500

offset from the most stable computed form: 258.4 meV per atom